[1]
VASP calculation (GGA-PBE) on a relaxed structure of TaRhAu2.

Geometry as POSCAR:
```
TaRhAu2
1.0
2.941 0.000 0.000
0.000 3.942 0.000
-0.013 0.000 5.803
Ta Rh Au
1 1 2
Direct
0.000 0.000 0.000
0.498 0.500 0.216
0.499 0.500 0.734
0.999 0.000 0.480
```

## Properties
offset from the most stable computed form = 0.0454 eV/atom
formation energy = -180 meV/atom
space group = Pm

=====

[2]
VASP calculation (GGA-PBE) on a relaxed structure of KTaSi.

Geometry as POSCAR:
```
KTaSi
1.0
0.000 3.353 3.353
3.353 0.000 3.353
3.353 3.353 0.000
K Ta Si
1 1 1
Direct
0.000 0.000 0.000
0.500 0.500 0.500
0.250 0.250 0.250
```

## Properties
offset from the most stable computed form = 0.9180 eV/atom
formation energy from raw total energies = 1.33 eV per atom
space group = F-43m

=====

[3]
VASP calculation (GGA-PBE) on a relaxed structure of KZn2NiBr.

Geometry as POSCAR:
```
KZn2NiBr
1.0
4.635 0.000 0.000
0.000 4.635 0.000
0.000 0.000 6.677
K Zn Ni Br
1 2 1 1
Direct
0.000 0.000 0.000
0.000 0.500 0.500
0.500 0.000 0.500
0.000 0.000 0.500
0.500 0.500 0.000
```

## Properties
formation energy from raw total energies = -0.19 eV per atom
space group = P4/mmm

=====

[4]
VASP calculation (GGA-PBE) on a relaxed structure of KLiMnN2.

Geometry as POSCAR:
```
KLiMnN2
1.0
5.514 -1.630 0.000
5.514 1.630 0.000
-1.435 0.000 7.416
K Li Mn N
2 2 2 4
Direct
0.144 0.144 0.135
0.856 0.856 0.865
0.194 0.194 0.557
0.806 0.806 0.443
0.448 0.448 0.348
0.552 0.552 0.652
0.093 0.093 0.756
0.386 0.386 0.561
0.614 0.614 0.439
0.907 0.907 0.244
```

## Properties
formation energy from raw total energies = -0.36 eV per atom
space group = C2/m

=====

[5]
VASP calculation (GGA-PBE) on a relaxed structure of Tb3DyHo2Bi6.

Geometry as POSCAR:
```
Tb3DyHo2Bi6
1.0
9.752 -2.237 0.000
9.752 2.237 0.000
-2.043 0.000 8.715
Tb Dy Ho Bi
3 1 2 6
Direct
0.000 0.000 0.000
0.333 0.333 0.667
0.667 0.667 0.333
0.000 0.000 0.500
0.333 0.333 0.167
0.667 0.667 0.833
0.166 0.166 0.584
0.167 0.167 0.082
0.499 0.499 0.250
0.501 0.501 0.750
0.833 0.833 0.918
0.834 0.834 0.416
```

## Properties
formation energy = -862 meV/atom
space group = C2/m

=====

[6]
VASP calculation (GGA-PBE) on a relaxed structure of Pm4Dy3Cd4.

Geometry as POSCAR:
```
Pm4Dy3Cd4
1.0
-2.675 3.449 8.895
2.675 -3.449 8.895
2.675 3.449 -8.895
Pm Dy Cd
4 3 4
Direct
0.057 0.819 0.239
0.420 0.181 0.239
0.580 0.819 0.761
0.943 0.181 0.761
0.000 0.500 0.500
0.403 0.403 0.000
0.597 0.597 0.000
0.169 0.669 0.500
0.288 0.000 0.288
0.712 0.000 0.712
0.831 0.331 0.500
```

## Properties
formation energy = -74 meV/atom
space group = Immm

=====

[7]
VASP calculation (GGA-PBE) on a relaxed structure of HgTe2Se2.

Geometry as POSCAR:
```
HgTe2Se2
1.0
8.426 0.000 0.000
0.000 8.426 0.000
0.000 0.000 3.900
Hg Te Se
2 4 4
Direct
0.000 0.000 0.000
0.500 0.500 0.000
0.188 0.312 0.000
0.312 0.812 0.000
0.688 0.188 0.000
0.812 0.688 0.000
0.143 0.643 0.500
0.357 0.143 0.500
0.643 0.857 0.500
0.857 0.357 0.500
```

## Properties
offset from the most stable computed form = 0.0933 eV/atom
formation energy from raw total energies = 0.16 eV per atom
space group = P4/mbm

=====

[8]
VASP calculation (GGA-PBE) on a relaxed structure of LiMg2GeH.

Geometry as POSCAR:
```
LiMg2GeH
1.0
4.324 0.000 0.000
0.000 4.324 0.000
0.000 0.000 3.945
Li Mg Ge H
1 2 1 1
Direct
0.000 0.000 0.000
0.000 0.500 0.500
0.500 0.000 0.500
0.500 0.500 0.000
0.000 0.000 0.500
```

## Properties
offset from the most stable computed form = 0.0000 eV/atom
space group = P4/mmm

=====

[9]
VASP calculation (GGA-PBE) on a relaxed structure of Cs2RbFeI6.

Geometry as POSCAR:
```
Cs2RbFeI6
1.0
8.275 0.000 0.000
-4.138 7.166 0.000
0.000 0.000 8.955
Cs Rb Fe I
2 1 1 6
Direct
0.333 0.667 0.351
0.667 0.333 0.649
0.000 0.000 0.000
0.000 0.000 0.500
0.153 0.306 0.674
0.153 0.847 0.674
0.306 0.153 0.326
0.694 0.847 0.674
0.847 0.153 0.326
0.847 0.694 0.326
```

## Properties
offset from the most stable computed form = 0.0000 eV/atom
formation energy from raw total energies = -0.88 eV per atom
space group = P-3m1

=====

[10]
VASP calculation (GGA-PBE) on a relaxed structure of Tb3AuS2.

Geometry as POSCAR:
```
Tb3AuS2
1.0
2.132 -6.563 0.000
2.132 6.563 0.000
0.000 0.000 10.499
Tb Au S
6 2 4
Direct
0.102 0.898 0.750
0.358 0.642 0.557
0.358 0.642 0.943
0.642 0.358 0.057
0.642 0.358 0.443
0.898 0.102 0.250
0.243 0.757 0.250
0.757 0.243 0.750
0.000 0.000 0.000
0.000 0.000 0.500
0.487 0.513 0.750
0.513 0.487 0.250
```

## Properties
formation energy from raw total energies = -1.34 eV per atom
space group = Cmcm

=====

[11]
VASP calculation (GGA-PBE) on a relaxed structure of Mn2CrSb.

Geometry as POSCAR:
```
Mn2CrSb
1.0
2.768 -4.504 0.000
2.768 4.504 0.000
-1.452 0.000 2.598
Mn Cr Sb
2 1 1
Direct
0.000 0.500 0.000
0.500 0.000 0.000
0.000 0.000 0.500
0.500 0.500 0.500
```

## Properties
formation energy from raw total energies = 0.39 eV per atom
space group = C2/m

=====

[12]
VASP calculation (GGA-PBE) on a relaxed structure of BaNaNiSn2.

Geometry as POSCAR:
```
BaNaNiSn2
1.0
5.056 0.000 0.000
0.000 5.056 0.000
0.000 0.000 5.384
Ba Na Ni Sn
1 1 1 2
Direct
0.000 0.000 0.000
0.500 0.500 0.000
0.500 0.500 0.500
0.000 0.500 0.500
0.500 0.000 0.500
```

## Properties
formation energy = -267 meV/atom
space group = P4/mmm

=====

[13]
VASP calculation (GGA-PBE) on a relaxed structure of Sr2GeSbTe5.

Geometry as POSCAR:
```
Sr2GeSbTe5
1.0
2.318 -10.043 0.000
2.318 10.043 0.000
0.000 0.000 13.263
Sr Ge Sb Te
4 2 2 10
Direct
0.112 0.888 0.500
0.122 0.878 0.130
0.878 0.122 0.630
0.888 0.112 0.000
0.436 0.564 0.266
0.564 0.436 0.766
0.213 0.787 0.845
0.787 0.213 0.345
0.048 0.952 0.873
0.280 0.720 0.499
0.312 0.688 0.183
0.357 0.643 0.818
0.500 0.500 0.089
0.500 0.500 0.589
0.643 0.357 0.318
0.688 0.312 0.683
0.720 0.280 0.999
0.952 0.048 0.373
```

## Properties
formation energy from raw total energies = -0.79 eV per atom
space group = Cmc2_1

=====

[14]
VASP calculation (GGA-PBE) on a relaxed structure of MnSiMo.

Geometry as POSCAR:
```
MnSiMo
1.0
0.000 2.810 2.810
2.810 0.000 2.810
2.810 2.810 0.000
Mn Si Mo
1 1 1
Direct
0.000 0.000 0.000
0.750 0.750 0.750
0.250 0.250 0.250
```

## Properties
formation energy from raw total energies = -0.13 eV per atom
space group = F-43m

=====

[15]
VASP calculation (GGA-PBE) on a relaxed structure of InCu2Pd7.

Geometry as POSCAR:
```
InCu2Pd7
1.0
3.612 -6.164 0.000
3.612 6.164 0.000
0.000 0.000 4.349
In Cu Pd
1 2 7
Direct
0.000 0.000 0.000
0.301 0.699 0.500
0.699 0.301 0.500
0.071 0.300 0.500
0.214 0.786 0.000
0.300 0.071 0.500
0.500 0.500 0.500
0.700 0.929 0.500
0.786 0.214 0.000
0.929 0.700 0.500
```

## Properties
formation energy = 283 meV/atom
space group = Cmmm

=====

[16]
VASP calculation (GGA-PBE) on a relaxed structure of MnHg3Ge.

Geometry as POSCAR:
```
MnHg3Ge
1.0
5.140 0.000 0.000
0.000 5.140 0.000
0.000 0.000 5.140
Mn Hg Ge
1 3 1
Direct
0.000 0.000 0.000
0.000 0.000 0.500
0.000 0.500 0.000
0.500 0.000 0.000
0.500 0.500 0.500
```

## Properties
offset from the most stable computed form = 0.0000 eV/atom
formation energy = 656 meV/atom
space group = Pm-3m

=====

[17]
VASP calculation (GGA-PBE) on a relaxed structure of NaAc2Tc2N6.

Geometry as POSCAR:
```
NaAc2Tc2N6
1.0
6.032 0.000 0.000
-2.206 6.035 0.000
-0.922 -3.533 5.839
Na Ac Tc N
1 2 2 6
Direct
0.000 0.000 0.000
0.258 0.439 0.675
0.742 0.561 0.325
0.486 0.995 0.683
0.514 0.005 0.317
0.164 0.816 0.653
0.365 0.667 0.116
0.370 0.210 0.309
0.630 0.790 0.691
0.635 0.333 0.884
0.836 0.184 0.347
```

## Properties
formation energy from raw total energies = -0.51 eV per atom
space group = P-1

=====

[18]
VASP calculation (GGA-PBE) on a relaxed structure of Ac2CuAs.

Geometry as POSCAR:
```
Ac2CuAs
1.0
0.000 3.832 3.832
3.832 0.000 3.832
3.832 3.832 0.000
Ac Cu As
2 1 1
Direct
0.250 0.250 0.250
0.750 0.750 0.750
0.000 0.000 0.000
0.500 0.500 0.500
```

## Properties
offset from the most stable computed form = 0.1359 eV/atom
formation energy = -524 meV/atom
space group = Fm-3m

=====

[19]
VASP calculation (GGA-PBE) on a relaxed structure of ScSiTe2I.

Geometry as POSCAR:
```
ScSiTe2I
1.0
5.344 0.000 0.000
0.000 5.344 0.000
0.000 0.000 5.313
Sc Si Te I
1 1 2 1
Direct
0.000 0.000 0.000
0.500 0.500 0.500
0.000 0.500 0.500
0.500 0.000 0.500
0.500 0.500 0.000
```

## Properties
offset from the most stable computed form = 0.0445 eV/atom
formation energy from raw total energies = 0.16 eV per atom
space group = P4/mmm

=====

[20]
VASP calculation (GGA-PBE) on a relaxed structure of HfZr2NbN.

Geometry as POSCAR:
```
HfZr2NbN
1.0
4.589 0.000 0.000
0.000 4.589 0.000
0.000 0.000 4.301
Hf Zr Nb N
1 2 1 1
Direct
0.000 0.000 0.000
0.000 0.500 0.500
0.500 0.000 0.500
0.500 0.500 0.000
0.500 0.500 0.500
```

## Properties
offset from the most stable computed form = 0.0704 eV/atom
formation energy from raw total energies = -0.61 eV per atom
space group = P4/mmm